No. 1
## Ho4CoSe2S (PBE)

Data for a relaxed Ho4CoSe2S crystal.

- ΔE_f (raw) (eV per formula unit) = -11.1
- raw total energy (eV/atom) = -5.95
- symmetry = P2/m, No. 10
- D(E_F) (states/eV per atom) = 0.756

a = 3.884 Å, b = 6.989 Å, c = 7.051 Å
α = 108.25°, β = 90.00°, γ = 90.00°
Fractional coordinates of all 8 atoms:
Co  0.500  0.500  0.000
Ho  0.500  0.255  0.227
Ho  0.500  0.745  0.773
Se  0.500  0.000  0.500
Ho  0.000  0.274  0.781
Ho  0.000  0.726  0.219
S  0.000  0.000  0.000
Se  0.000  0.500  0.500

***

No. 2
## Ho4CoSeS2 (PBE)

Data for a relaxed Ho4CoSeS2 crystal.

- ΔE_f (raw) (eV per formula unit) = -11.3
- raw total energy (eV/atom) = -6.06
- symmetry = P2/m, No. 10
- D(E_F) (states/eV per atom) = 0.768

a = 3.847 Å, b = 6.950 Å, c = 6.909 Å
α = 107.98°, β = 90.00°, γ = 90.00°
Fractional coordinates of all 8 atoms:
Ho  0.500  0.728  0.754
S  0.500  0.000  0.500
Ho  0.000  0.269  0.761
Se  0.000  0.000  0.000
S  0.000  0.500  0.500
Co  0.500  0.500  0.000
Ho  0.500  0.272  0.246
Ho  0.000  0.731  0.239

***

No. 3
## Y2Ho2Co2S (PBE)

Data for a relaxed Y2Ho2Co2S crystal.

- ΔE_f (raw) (eV per formula unit) = -4.3
- raw total energy (eV/atom) = -6.39
- symmetry = C2/m, No. 12
- D(E_F) (states/eV per atom) = 0.663

a = 3.742 Å, b = 7.619 Å, c = 6.767 Å
α = 65.26°, β = 73.95°, γ = 75.78°
Fractional coordinates of all 7 atoms:
Ho  0.227  0.696  0.849
Y  0.523  0.250  0.704
Ho  0.773  0.304  0.151
Y  0.477  0.750  0.296
Co  0.898  0.553  0.650
S  0.000  0.000  0.000
Co  0.102  0.447  0.350

***

No. 4
## Ho12Co5Sb (PBE)

Data for a relaxed Ho12Co5Sb crystal.

- ΔE_f (raw) (eV per formula unit) = -5.7
- raw total energy (eV/atom) = -5.57
- symmetry = Immm, No. 71
- D(E_F) (states/eV per atom) = 0.696

a = 8.240 Å, b = 8.240 Å, c = 8.240 Å
α = 106.92°, β = 110.94°, γ = 110.59°
Fractional coordinates of all 18 atoms:
Ho  0.307  0.313  0.620
Co  0.500  0.112  0.612
Ho  0.895  0.184  0.711
Co  0.500  0.888  0.388
Ho  0.194  0.402  0.208
Co  0.000  0.000  0.000
Ho  0.806  0.015  0.208
Ho  0.194  0.985  0.792
Co  0.376  0.376  0.000
Ho  0.806  0.598  0.792
Ho  0.307  0.687  0.994
Ho  0.474  0.184  0.289
Sb  0.000  0.500  0.500
Ho  0.526  0.816  0.711
Ho  0.105  0.816  0.289
Co  0.624  0.624  0.000
Ho  0.693  0.687  0.380
Ho  0.693  0.313  0.006

***

No. 5
## Ho12CoSb6 (PBE)

Data for a relaxed Ho12CoSb6 crystal.

- ΔE_f (raw) (eV per formula unit) = -11.8
- raw total energy (eV/atom) = -5.19
- symmetry = R-3, No. 148
- D(E_F) (states/eV per atom) = 0.681

a = 8.469 Å, b = 8.469 Å, c = 8.469 Å
α = 99.70°, β = 99.70°, γ = 99.70°
Fractional coordinates of all 19 atoms:
Ho  0.197  0.415  0.547
Ho  0.585  0.453  0.803
Ho  0.803  0.585  0.453
Ho  0.057  0.991  0.306
Sb  0.355  0.686  0.881
Sb  0.686  0.881  0.355
Ho  0.547  0.197  0.415
Co  0.000  0.000  0.000
Sb  0.645  0.314  0.119
Ho  0.453  0.803  0.585
Ho  0.991  0.306  0.057
Sb  0.881  0.355  0.686
Ho  0.943  0.009  0.694
Sb  0.119  0.645  0.314
Ho  0.415  0.547  0.197
Sb  0.314  0.119  0.645
Ho  0.694  0.943  0.009
Ho  0.306  0.057  0.991
Ho  0.009  0.694  0.943

***

No. 6
## Ho3CoSb (PBE)

Data for a relaxed Ho3CoSb crystal.

- ΔE_f (raw) (eV per formula unit) = -2.0
- energy above the lowest structure with this stoichiometry (meV/atom) = 101.2
- raw total energy (eV/atom) = -5.39
- symmetry = Pm-3m, No. 221
- D(E_F) (states/eV per atom) = 0.607

a = 5.092 Å, b = 5.092 Å, c = 5.092 Å
α = 90.00°, β = 90.00°, γ = 90.00°
Fractional coordinates of all 5 atoms:
Ho  0.500  0.000  0.000
Ho  0.000  0.500  0.000
Co  0.000  0.000  0.000
Sb  0.500  0.500  0.500
Ho  0.000  0.000  0.500

***

No. 7
## Ho3CoSb2 (PBE)

Data for a relaxed Ho3CoSb2 crystal.

- ΔE_f (raw) (eV per formula unit) = -4.9
- raw total energy (eV/atom) = -5.66
- symmetry = Pnma, No. 62
- D(E_F) (states/eV per atom) = 0.539

a = 4.297 Å, b = 11.700 Å, c = 11.754 Å
α = 90.00°, β = 90.00°, γ = 90.00°
Fractional coordinates of all 24 atoms:
Sb  0.250  0.691  0.490
Ho  0.750  0.873  0.442
Ho  0.750  0.294  0.769
Co  0.250  0.142  0.128
Sb  0.250  0.006  0.306
Sb  0.750  0.994  0.694
Sb  0.750  0.506  0.194
Ho  0.250  0.449  0.384
Co  0.750  0.858  0.872
Co  0.250  0.358  0.628
Ho  0.750  0.627  0.942
Ho  0.750  0.551  0.616
Ho  0.250  0.373  0.058
Sb  0.750  0.191  0.010
Ho  0.750  0.206  0.269
Ho  0.250  0.127  0.558
Ho  0.250  0.794  0.731
Ho  0.250  0.706  0.231
Co  0.750  0.642  0.372
Ho  0.250  0.051  0.884
Ho  0.750  0.949  0.116
Sb  0.250  0.494  0.806
Sb  0.750  0.309  0.510
Sb  0.250  0.809  0.990

***

No. 8
## Ho3CoSb (PBE)

Data for a relaxed Ho3CoSb crystal.

- ΔE_f (raw) (eV per formula unit) = -2.5
- energy above the lowest structure with this stoichiometry (meV/atom) = 0.0
- raw total energy (eV/atom) = -5.49
- symmetry = Pmmn, No. 59
- D(E_F) (states/eV per atom) = 0.674

a = 4.186 Å, b = 6.640 Å, c = 9.215 Å
α = 90.00°, β = 90.00°, γ = 90.00°
Fractional coordinates of all 10 atoms:
Ho  0.250  0.250  0.907
Co  0.750  0.750  0.398
Ho  0.750  0.750  0.093
Ho  0.250  0.496  0.351
Ho  0.750  0.996  0.649
Sb  0.750  0.250  0.146
Sb  0.250  0.750  0.854
Ho  0.250  0.004  0.351
Co  0.250  0.250  0.602
Ho  0.750  0.504  0.649

***

> Which formula does entry 4 have?

Ho12Co5Sb